[1]
Ce2DyTe: optimized geometry, PBE.

It has space group P4/mmm (No. 123), with a = 4.186 Å, b = 4.186 Å, c = 6.722 Å, α = 90.00°, β = 90.00° and γ = 90.00°. The distinct sites, in fractional coordinates, are Ce at (0.000, 0.000, 0.196), Dy at (0.500, 0.500, 0.500) and Te at (0.500, 0.500, 0.000).

As for the total DFT energy (no corrections): -5.431 eV per atom. The density of states at the Fermi level is 8.34 states/eV/f.u. As for the crystal system: tetragonal. For the raw formation energy, the calculation gives -528 meV/atom.

=====

[2]
CeDyTe: optimized geometry, PBE.

It has space group I4mm (No. 107), with a = 3.917 Å, b = 3.917 Å, c = 11.618 Å, α = 90.00°, β = 90.00° and γ = 90.00°. The distinct sites, in fractional coordinates, are Ce at (0.000, 0.000, 0.000), Dy at (0.000, 0.000, 0.304) and Te at (0.000, 0.000, 0.665).

As for the total DFT energy (no corrections): -5.238 eV per atom. The density of states at the Fermi level is 7.52 states/eV/f.u. As for the crystal system: tetragonal. For the raw formation energy, the calculation gives -679 meV/atom.